Here is crystalline Ca2ZnInPd6 at its relaxed geometry from the Alexandria database. Energies are from PBE-GGA.

```
10
Lattice="6.852 0.000 0.000 0.000 6.852 0.000 3.426 3.426 4.845" Properties=species:S:1:pos:R:3 pbc="T T T"
Ca 3.427 6.852 2.423
Ca 6.852 3.426 2.423
Zn 3.426 3.426 0.000
In 0.000 0.000 0.000
Pd 1.771 5.081 0.000
Pd 5.082 5.081 0.000
Pd 3.426 3.426 2.341
Pd 5.082 1.770 0.000
Pd 1.771 1.771 0.000
Pd 6.853 6.852 2.504
```

Results
VASP energy ... -40.60 eV per cell
Crystal system ... cubic
E_form ... -143 meV/atom



Here is crystalline Ca2PmIn9 at its relaxed geometry from the Alexandria database. Energies are from PBE-GGA.

```
12
Lattice="-2.325 -3.536 -2.070 2.517 0.645 -3.930 9.711 -9.146 4.718" Properties=species:S:1:pos:R:3 pbc="T T T"
Ca 3.241 -3.052 1.575
Ca 6.470 -6.093 3.143
Pm 0.000 0.000 0.000
In 0.096 -1.446 -3.000
In 3.331 -4.492 -1.428
In 6.572 -7.545 0.147
In 0.469 -3.304 -0.242
In 3.693 -6.341 1.324
In 6.917 -9.378 2.891
In 2.890 -1.214 -1.172
In 6.114 -4.250 0.394
In 9.338 -7.287 1.961
```

Results
VASP energy ... -37.84 eV per cell
Crystal system ... tetragonal
E_form ... -370 meV/atom



Here is crystalline Ca2PmIn at its relaxed geometry from the Alexandria database. Energies are from PBE-GGA.

```
4
Lattice="-1.556 3.381 -3.764 0.892 -3.406 -3.428 -4.612 -1.642 0.432" Properties=species:S:1:pos:R:3 pbc="T T T"
Ca -2.306 -0.821 0.216
Ca 0.446 -1.703 -1.714
In -0.778 1.690 -1.882
Pm -2.638 -0.834 -3.380
```

Results
VASP energy ... -12.45 eV per cell
Crystal system ... tetragonal
E_form ... -239 meV/atom
Polymorph energy (0 for the lowest one) ... 0 meV per atom



Here is crystalline Ca2PmIn3 at its relaxed geometry from the Alexandria database. Energies are from PBE-GGA.

```
12
Lattice="2.746 -8.291 0.000 2.746 8.291 0.000 0.000 0.000 7.527" Properties=species:S:1:pos:R:3 pbc="T T T"
Ca 0.000 0.000 0.000
Ca 0.000 0.000 3.763
Ca 2.746 2.775 3.763
Ca 2.746 -2.775 3.763
Pm 2.746 2.644 0.000
Pm 2.746 -2.644 0.000
In 2.746 -5.498 5.663
In 2.746 0.000 1.965
In 2.746 5.498 1.863
In 2.746 -5.498 1.863
In 2.746 5.498 5.663
In 2.746 0.000 5.562
```

Results
VASP energy ... -39.63 eV per cell
Crystal system ... orthorhombic
E_form ... -474 meV/atom



Here is crystalline CaPmIn6 at its relaxed geometry from the Alexandria database. Energies are from PBE-GGA.

```
8
Lattice="-2.138 -2.097 3.632 3.530 -3.101 0.288 4.534 5.716 5.971" Properties=species:S:1:pos:R:3 pbc="T T T"
Ca 0.000 0.000 0.000
Pm 2.267 2.858 2.985
In 0.696 -2.599 1.960
In 2.963 0.259 4.945
In 0.059 0.373 3.301
In 2.337 3.246 6.302
In 2.893 -0.129 1.629
In 5.172 2.744 4.630
```

Results
VASP energy ... -26.32 eV per cell
Crystal system ... tetragonal
E_form ... -392 meV/atom
Polymorph energy (0 for the lowest one) ... 0 meV per atom



Here is crystalline CaPmIn4 at its relaxed geometry from the Alexandria database. Energies are from PBE-GGA.

```
6
Lattice="-0.606 -0.839 -3.523 -1.436 -3.286 0.787 -11.194 5.067 0.721" Properties=species:S:1:pos:R:3 pbc="T T T"
Ca -6.618 0.471 -1.007
Pm 0.000 0.000 0.000
In -2.974 -1.180 -1.243
In -10.262 2.122 -0.771
In -9.627 -0.691 -2.246
In -3.609 1.632 0.232
```

Results
VASP energy ... -19.60 eV per cell
Crystal system ... orthorhombic
E_form ... -316 meV/atom
Polymorph energy (0 for the lowest one) ... 95 meV per atom



Here is crystalline Ca2PmIn4 at its relaxed geometry from the Alexandria database. Energies are from PBE-GGA.

```
7
Lattice="6.178 -0.044 -2.201 -3.092 5.366 -2.156 -0.025 0.044 6.558" Properties=species:S:1:pos:R:3 pbc="T T T"
Ca 1.543 2.661 -2.178
Ca 3.076 0.000 2.178
In 3.089 -0.022 -1.100
In 1.530 2.683 1.100
In -0.013 0.022 3.279
In -1.546 2.683 -1.078
Pm 0.000 0.000 0.000
```

Results
VASP energy ... -22.00 eV per cell
Crystal system ... tetragonal
E_form ... -328 meV/atom



Here is crystalline CaPm5In8 at its relaxed geometry from the Alexandria database. Energies are from PBE-GGA.

```
14
Lattice="-5.278 2.977 -5.412 0.536 -8.052 -0.948 -2.522 1.634 7.549" Properties=species:S:1:pos:R:3 pbc="T T T"
Ca -2.943 -2.056 3.835
Pm -5.346 0.018 -4.690
Pm -4.747 -3.870 -3.562
Pm -5.113 -1.713 -0.104
Pm -3.900 2.305 1.068
Pm -2.078 0.026 -2.227
In -0.363 -5.711 -1.113
In -6.848 3.338 0.191
In -5.037 1.153 -1.707
In -5.224 -0.155 2.656
In -2.467 -3.033 -1.350
In -5.074 -4.025 2.274
In -2.243 -0.483 1.026
In -1.799 -4.846 2.779
```

Results
VASP energy ... -52.81 eV per cell
Crystal system ... tetragonal
E_form ... -368 meV/atom